20
Lattice="6.986 0.000 0.000 0.000 7.424 0.000 -6.877 0.000 9.903" Properties=species:S:1:pos:R:3 comment="PBE Na2CePaS6, relaxed" crystal_system=monoclinic total_magnetization_mub_per_fu=0.001 pbc="T T T"
Na -0.155 0.557 2.449
Na -3.593 3.156 7.401
Na 3.702 4.269 2.502
Na 0.264 6.868 7.453
Ce -3.438 0.000 4.951
Ce 0.000 3.712 0.000
Pa 3.493 0.000 0.000
Pa 0.054 3.712 4.951
S -5.464 1.482 9.258
S -2.026 2.230 4.306
S -4.742 5.260 9.209
S -1.304 5.876 4.258
S -2.486 0.348 7.464
S 0.952 3.364 2.512
S -0.843 4.060 7.391
S 2.595 7.076 2.439
S 1.413 1.548 5.645
S 4.851 2.164 0.694
S 2.135 5.194 5.597
S 5.573 5.943 0.645

=====

12
Lattice="3.662 -6.342 0.000 3.662 6.342 0.000 -2.445 0.000 7.040" Properties=species:S:1:pos:R:3 comment="PBE Na3Ce2PaSe6, relaxed" crystal_system=monoclinic total_magnetization_mub_per_fu=4.022 pbc="T T T"
Na 0.000 0.000 0.000
Na 3.662 2.133 0.000
Na 3.662 -2.133 0.000
Ce 2.440 4.227 3.520
Ce 2.440 -4.227 3.520
Pa 2.440 0.000 3.520
Se 1.253 2.054 1.847
Se 0.068 0.000 5.183
Se 1.253 -2.054 1.847
Se 3.626 2.054 5.193
Se 4.811 0.000 1.858
Se 3.626 -2.054 5.193

=====

8
Lattice="7.181 0.000 0.000 0.000 4.140 0.000 -2.397 0.000 6.901" Properties=species:S:1:pos:R:3 comment="PBE NaCe2PaSe4, relaxed" crystal_system=monoclinic total_magnetization_mub_per_fu=3.440 pbc="T T T"
Na 0.000 0.000 0.000
Ce 2.392 0.000 3.451
Ce 3.591 2.070 0.000
Pa -1.199 2.070 3.451
Se -0.063 0.000 5.164
Se 1.142 2.070 1.728
Se 3.643 2.070 5.174
Se 4.848 0.000 1.738

=====

9
Lattice="5.277 0.000 0.000 0.000 5.277 0.000 0.000 0.000 11.122" Properties=species:S:1:pos:R:3 comment="PBE Na2CePaSe5, relaxed" crystal_system=tetragonal total_magnetization_mub_per_fu=1.150 pbc="T T T"
Na 0.000 0.000 2.612
Na 0.000 0.000 8.510
Ce 2.638 2.638 5.561
Pa 2.638 2.638 0.000
Se 0.000 0.000 5.561
Se 0.000 2.638 0.000
Se 2.638 0.000 0.000
Se 2.638 2.638 2.765
Se 2.638 2.638 8.357

=====

16
Lattice="4.248 2.452 7.017 -4.248 2.452 7.017 0.000 -4.905 7.017" Properties=species:S:1:pos:R:3 comment="PBE Na4Ce3PaSe8, relaxed" crystal_system=trigonal total_magnetization_mub_per_fu=5.023 pbc="T T T"
Na 0.000 0.000 0.000
Na -2.124 -1.226 7.017
Na -2.124 1.226 14.034
Na 0.000 2.452 7.017
Ce -4.248 0.000 10.526
Ce -2.124 1.226 3.509
Ce 2.124 1.226 3.509
Pa 0.000 0.000 10.526
Se 0.000 0.000 5.183
Se -2.067 -1.194 12.182
Se 0.000 -2.387 8.869
Se -2.067 1.194 8.869
Se 2.067 -1.194 12.182
Se 0.000 2.387 12.182
Se 2.067 1.194 8.869
Se 0.000 0.000 15.868

=====

14
Lattice="-4.249 4.365 6.167 4.249 -4.365 6.167 4.249 4.365 -6.167" Properties=species:S:1:pos:R:3 comment="PBE NaCePaSe4, relaxed" crystal_system=orthorhombic total_magnetization_mub_per_fu=2.004 pbc="T T T"
Na 0.000 2.182 1.541
Na 4.249 2.182 4.626
Ce 4.249 0.000 0.000
Ce 0.000 0.000 6.167
Pa 2.125 2.182 -3.084
Pa 2.125 -2.182 3.084
Se 4.249 -0.237 2.980
Se 2.252 2.182 -0.245
Se 6.247 2.182 -0.245
Se 4.249 4.128 -2.980
Se 0.000 0.237 9.147
Se -1.998 2.182 6.412
Se 1.998 2.182 6.412
Se 0.000 4.602 3.187

=====

Number 1: N(E_F) 11.6 states/eV/f.u., formation energy without anion corrections -1.3177 eV per atom, electronic total energy -5.601 eV/atom. Number 2: N(E_F) 19.2 states/eV/f.u., formation energy without anion corrections -1.4970 eV per atom, electronic total energy -5.349 eV/atom. Number 3: N(E_F) 17.2 states/eV/f.u., formation energy without anion corrections -1.5307 eV per atom, electronic total energy -6.108 eV/atom. Number 4: N(E_F) 8.9 states/eV/f.u., formation energy without anion corrections -1.1372 eV per atom, electronic total energy -5.081 eV/atom. Number 5: N(E_F) 26.6 states/eV/f.u., formation energy without anion corrections -1.5252 eV per atom, electronic total energy -5.303 eV/atom. Number 6: N(E_F) 14.1 states/eV/f.u., formation energy without anion corrections -1.4772 eV per atom, electronic total energy -5.861 eV/atom.